VASP calculation (PBE-GGA) on Cs2AsS3 after structural relaxation.

a = 6.6503 Å, b = 7.9810 Å, c = 7.9810 Å
α = 110.87°, β = 90.00°, γ = 90.00°
Atoms (fractional coordinates):
S 0.5112 0.1313 0.8685
S 0.0112 0.8687 0.1315
S 0.0112 0.1315 0.8687
S 0.2615 0.3163 0.3163
S 0.7615 0.6837 0.6837
S 0.5112 0.8685 0.1313
Cs 0.7613 0.4940 0.1872
Cs 0.7613 0.1872 0.4940
Cs 0.2613 0.5060 0.8128
Cs 0.2613 0.8128 0.5060
As 0.7613 0.9317 0.9317
As 0.2613 0.0683 0.0683

**Raw total energy**: -45.9 eV per cell